The following is a PBE calculation of PrDyCl3 after structural relaxation, from Alexandria.

As for the crystal system: monoclinic. Its raw formation energy is -1.835 eV/atom.

It has space group C2/m (No. 12), with a = 15.918 Å, b = 3.919 Å, c = 10.758 Å, α = 90.00°, β = 119.23° and γ = 90.00°. The distinct sites, in fractional coordinates, are Pr at (0.141, 0.000, 0.292), Dy at (0.086, 0.500, 0.953), Cl at (0.050, 0.000, 0.754), Cl at (0.155, 0.500, 0.507) and Cl at (0.223, 0.000, 0.111).



The following is a PBE calculation of Mg2SnGeO after structural relaxation, from Alexandria.

As for the crystal system: tetragonal. Its raw formation energy is 0.383 eV/atom.

It has space group P4/mmm (No. 123), with a = 4.882 Å, b = 4.882 Å, c = 5.373 Å, α = 90.00°, β = 90.00° and γ = 90.00°. The distinct sites, in fractional coordinates, are Mg at (0.000, 0.500, 0.000), Sn at (0.000, 0.000, 0.500), Ge at (0.000, 0.000, 0.000) and O at (0.500, 0.500, 0.500).



The following is a PBE calculation of YHo3O6 after structural relaxation, from Alexandria.

As for the crystal system: trigonal. Its raw formation energy is -3.568 eV/atom.

It has space group R-3 (No. 148, hexagonal axes), with a = 9.6078 Å, b = 9.6078 Å, c = 11.3182 Å, α = 90.00°, β = 90.00° and γ = 120.00°. The distinct sites, in fractional coordinates, are Y at (0.0000, 0.0000, 0.0000), Y at (0.0000, 0.0000, 0.5000), Ho at (0.0388, 0.2654, 0.2099), O at (0.0256, 0.2196, 0.4025) and O at (0.0281, 0.1880, 0.8689).



The following is a PBE calculation of Pm3PrDy5 after structural relaxation, from Alexandria.

As for the crystal system: tetragonal. The formation energy from the elements is 252 meV per atom. The calculation puts the polymorph energy (0 for the lowest one) at 0.0 meV per atom.

It has space group I4/mcm (No. 140), with a = 8.710 Å, b = 8.710 Å, c = 15.684 Å, α = 90.00°, β = 90.00° and γ = 90.00°. The distinct sites, in fractional coordinates, are Pm at (0.000, 0.000, 0.250), Pm at (0.118, 0.382, 0.000), Pr at (0.000, 0.500, 0.250), Dy at (0.000, 0.000, 0.000) and Dy at (0.208, 0.292, 0.363).



The following is a PBE calculation of BaTl3Cu after structural relaxation, from Alexandria.

As for the crystal system: cubic. The formation energy from the elements is -72 meV per atom. The calculation puts the polymorph energy (0 for the lowest one) at 0.0 meV per atom.

It has space group Pm-3m (No. 221), with a = 5.365 Å, b = 5.365 Å, c = 5.365 Å, α = 90.00°, β = 90.00° and γ = 90.00°. The distinct sites, in fractional coordinates, are Ba at (0.000, 0.000, 0.000), Tl at (0.000, 0.500, 0.500) and Cu at (0.500, 0.500, 0.500).



The following is a PBE calculation of TcMoPt2 after structural relaxation, from Alexandria.

As for the crystal system: orthorhombic. The formation energy from the elements is -186 meV per atom. The calculation puts the polymorph energy (0 for the lowest one) at 69.7 meV per atom.

It has space group Cmmm (No. 65), with a = 5.449 Å, b = 8.193 Å, c = 2.724 Å, α = 90.00°, β = 90.00° and γ = 90.00°. The distinct sites, in fractional coordinates, are Tc at (0.000, 0.000, 0.000), Mo at (0.000, 0.500, 0.000) and Pt at (0.250, 0.250, 0.500).



The following is a PBE calculation of CrIrPdC2 after structural relaxation, from Alexandria.

As for the crystal system: tetragonal. The formation energy from the elements is 2474 meV per atom.

It has space group P4/mmm (No. 123), with a = 3.793 Å, b = 3.793 Å, c = 5.284 Å, α = 90.00°, β = 90.00° and γ = 90.00°. The distinct sites, in fractional coordinates, are Cr at (0.000, 0.000, 0.000), Ir at (0.500, 0.500, 0.000), Pd at (0.500, 0.500, 0.500) and C at (0.000, 0.500, 0.500).



The following is a PBE calculation of PmDy2YTl2 after structural relaxation, from Alexandria.

As for the crystal system: orthorhombic. The formation energy from the elements is -280 meV per atom.

It has space group Pmc2_1 (No. 26), with a = 5.151 Å, b = 10.054 Å, c = 6.820 Å, α = 90.00°, β = 90.00° and γ = 90.00°. The distinct sites, in fractional coordinates, are Pm at (0.000, 0.041, 0.000), Dy at (0.000, 0.317, 0.372), Dy at (0.500, 0.457, 0.090), Y at (0.500, 0.190, 0.722), Tl at (0.000, 0.366, 0.836) and Tl at (0.500, 0.138, 0.259).